No. 1
First-principles (SCAN) data for a PBEsol-optimized structure of BH2W2, as listed in the Alexandria database.

abc: 3.829 4.029 3.829
angles: 61.63 90.00 118.37
Positions (direct):
H 0.645 0.290 0.355
W 0.250 0.500 0.250
W 0.750 0.500 0.750
H 0.355 0.710 0.645
B 0.000 0.000 0.000

Properties
Crystal system: tetragonal
Symmetry: I4/mmm
Calculated total energy (eV for the cell shown): -150.67
D(E_F) (states/eV/cell): 3.04
Magnetization (Bohr magnetons per cell): 0.000



No. 2
First-principles (SCAN) data for a PBEsol-optimized structure of Ca2SbRh, as listed in the Alexandria database.

abc: 4.881 4.881 4.881
angles: 60.00 60.00 60.00
Positions (direct):
Sb 0.250 0.250 0.250
Ca 0.750 0.750 0.750
Rh 0.500 0.500 0.500
Ca 0.000 0.000 0.000

Properties
Crystal system: cubic
Symmetry: F-43m
Calculated total energy (eV for the cell shown): -92.85
D(E_F) (states/eV/cell): 0.07
Magnetization (Bohr magnetons per cell): 0.000



No. 3
First-principles (SCAN) data for a PBEsol-optimized structure of K2P3Se, as listed in the Alexandria database.

abc: 6.285 8.205 13.918
angles: 97.51 90.00 90.00
Positions (direct):
K 0.941 0.401 0.161
P 0.507 0.755 0.901
K 0.059 0.599 0.839
K 0.234 0.884 0.111
P 0.993 0.755 0.401
K 0.559 0.401 0.661
P 0.364 0.468 0.045
P 0.864 0.532 0.455
K 0.734 0.116 0.389
P 0.636 0.532 0.955
K 0.441 0.599 0.339
P 0.265 0.222 0.979
K 0.766 0.116 0.889
P 0.493 0.245 0.099
Se 0.155 0.225 0.748
Se 0.845 0.775 0.252
K 0.266 0.884 0.611
P 0.136 0.468 0.545
P 0.007 0.245 0.599
Se 0.655 0.775 0.752
P 0.735 0.778 0.021
P 0.235 0.222 0.479
Se 0.345 0.225 0.248
P 0.765 0.778 0.521

Properties
Crystal system: monoclinic
Symmetry: P2_1/c
Calculated total energy (eV for the cell shown): -285.96
D(E_F) (states/eV/cell): 0.00
Magnetization (Bohr magnetons per cell): 0.000



No. 4
First-principles (SCAN) data for a PBEsol-optimized structure of Cs2LiOs, as listed in the Alexandria database.

abc: 8.871 8.871 8.871
angles: 60.00 60.00 60.00
Site moments in Bohr magnetons follow the coordinates.
Positions (direct):
Li 0.000 0.000 0.000  0.01
Cs 0.625 0.625 0.625  -0.01
Cs 0.625 0.625 0.125  -0.01
Os 0.500 0.500 0.500  -0.65
Li 0.250 0.250 0.250  0.01
Cs 0.125 0.625 0.625  -0.01
Os 0.750 0.750 0.750  -0.65
Cs 0.625 0.125 0.625  -0.01

Properties
Crystal system: cubic
Symmetry: Fd-3m
Calculated total energy (eV for the cell shown): -285.20
D(E_F) (states/eV/cell): 6.78
Magnetization (Bohr magnetons per cell): 1.384



No. 5
First-principles (SCAN) data for a PBEsol-optimized structure of Cu3IrAu, as listed in the Alexandria database.

abc: 4.537 4.537 4.537
angles: 90.00 90.00 90.00
Positions (direct):
Au 0.500 0.500 0.500
Cu 0.500 0.000 0.000
Cu 0.000 0.500 0.000
Ir 0.000 0.000 0.000
Cu 0.000 0.000 0.500

Properties
Crystal system: cubic
Symmetry: Pm-3m
Calculated total energy (eV for the cell shown): -179.58
D(E_F) (states/eV/cell): 5.25
Magnetization (Bohr magnetons per cell): 0.000



No. 6
First-principles (SCAN) data for a PBEsol-optimized structure of Na3MgPCO7, as listed in the Alexandria database.

abc: 5.233 6.531 8.888
angles: 90.00 89.43 90.00
Positions (direct):
O 0.076 0.573 0.253
Na 0.500 0.513 0.500
Mg 0.967 0.763 0.709
O 0.311 0.263 0.641
O 0.438 0.263 0.301
O 0.689 0.763 0.359
Mg 0.033 0.263 0.291
C 0.499 0.764 0.839
Na 0.000 0.014 0.000
C 0.501 0.264 0.161
O 0.323 0.264 0.059
O 0.076 0.954 0.253
O 0.562 0.763 0.699
O 0.924 0.454 0.747
Na 0.000 0.514 0.000
P 0.019 0.263 0.655
Na 0.437 0.763 0.160
O 0.109 0.764 0.501
Na 0.563 0.263 0.840
O 0.891 0.264 0.499
P 0.981 0.763 0.345
O 0.677 0.764 0.941
Na 0.500 0.013 0.500
O 0.741 0.264 0.119
O 0.924 0.073 0.747
O 0.259 0.764 0.881

Properties
Crystal system: monoclinic
Symmetry: P2_1/m
Distance to the lowest polymorph of the same formula (meV/atom): 22
D(E_F) (states/eV/cell): 0.00
Magnetization (Bohr magnetons per cell): 0.000



No. 7
First-principles (SCAN) data for a PBEsol-optimized structure of Y2ZnCo2, as listed in the Alexandria database.

abc: 3.940 6.682 6.682
angles: 90.00 90.00 90.00
Positions (direct):
Y 0.500 0.681 0.819
Co 0.000 0.117 0.383
Co 0.000 0.383 0.883
Co 0.000 0.617 0.117
Co 0.000 0.883 0.617
Zn 0.000 0.000 0.000
Y 0.500 0.181 0.681
Y 0.500 0.819 0.319
Y 0.500 0.319 0.181
Zn 0.000 0.500 0.500

Properties
Crystal system: tetragonal
Symmetry: P4/mbm
Calculated total energy (eV for the cell shown): -208.71
D(E_F) (states/eV/cell): 8.18
Magnetization (Bohr magnetons per cell): 0.001



No. 8
First-principles (SCAN) data for a PBEsol-optimized structure of Al2Cu2Ag, as listed in the Alexandria database.

abc: 2.746 7.135 7.135
angles: 90.00 90.00 90.00
Positions (direct):
Ag 0.000 0.000 0.000
Al 0.500 0.674 0.826
Al 0.500 0.326 0.174
Ag 0.000 0.500 0.500
Al 0.500 0.826 0.326
Cu 0.000 0.377 0.877
Al 0.500 0.174 0.674
Cu 0.000 0.877 0.623
Cu 0.000 0.123 0.377
Cu 0.000 0.623 0.123

Properties
Crystal system: tetragonal
Symmetry: P4/mbm
Distance to the lowest polymorph of the same formula (meV/atom): 0
D(E_F) (states/eV/cell): 2.08
Magnetization (Bohr magnetons per cell): 0.001



No. 9
First-principles (SCAN) data for a PBEsol-optimized structure of RbNbCl2, as listed in the Alexandria database.

abc: 5.117 5.117 5.117
angles: 60.00 60.00 60.00
Site moments in Bohr magnetons follow the coordinates.
Positions (direct):
Nb 0.500 0.500 0.500  2.93
Cl 0.250 0.250 0.250  -0.01
Rb 0.000 0.000 0.000  0.05
Cl 0.750 0.750 0.750  -0.01

Properties
Crystal system: cubic
Symmetry: Fm-3m
Distance to the lowest polymorph of the same formula (meV/atom): 272
D(E_F) (states/eV/cell): 3.95
Magnetization (Bohr magnetons per cell): 4.000



No. 10
First-principles (SCAN) data for a PBEsol-optimized structure of Sm2Ga9Ir3, as listed in the Alexandria database.

abc: 7.506 7.506 9.439
angles: 90.00 90.00 119.71
Positions (direct):
Ir 0.671 0.329 0.000
Ga 0.545 0.339 0.750
Ga 0.001 0.335 0.579
Ga 0.665 0.999 0.079
Ga 0.339 0.545 0.750
Ga 0.665 0.999 0.421
Ga 0.667 0.667 0.563
Ga 0.333 0.333 0.063
Sm 0.003 0.330 0.250
Ga 0.131 0.131 0.750
Ga 0.661 0.455 0.250
Ir 0.000 0.000 0.500
Ga 0.999 0.665 0.421
Ga 0.001 0.335 0.921
Sm 0.997 0.670 0.750
Ga 0.667 0.667 0.937
Ir 0.671 0.329 0.500
Ga 0.869 0.869 0.250
Ga 0.335 0.001 0.579
Ga 0.333 0.333 0.437
Ir 0.329 0.671 0.500
Ga 0.335 0.001 0.921
Sm 0.330 0.003 0.250
Ga 0.999 0.665 0.079
Sm 0.670 0.997 0.750
Ir 0.329 0.671 0.000
Ga 0.455 0.661 0.250
Ir 0.000 0.000 0.000

Properties
Crystal system: orthorhombic
Symmetry: Cmcm
Calculated total energy (eV for the cell shown): -921.44
D(E_F) (states/eV/cell): 6.61
Magnetization (Bohr magnetons per cell): 0.000



No. 11
First-principles (SCAN) data for a PBEsol-optimized structure of Zn4Cd, as listed in the Alexandria database.

abc: 3.677 3.677 6.687
angles: 105.96 105.96 90.00
Positions (direct):
Zn 0.750 0.250 0.500
Cd 0.000 0.000 0.000
Zn 0.600 0.600 0.201
Zn 0.250 0.750 0.500
Zn 0.400 0.400 0.799

Properties
Crystal system: tetragonal
Symmetry: I4/mmm
Distance to the lowest polymorph of the same formula (meV/atom): 20
D(E_F) (states/eV/cell): 1.36
Magnetization (Bohr magnetons per cell): 0.000



No. 12
First-principles (SCAN) data for a PBEsol-optimized structure of CuOsRh2, as listed in the Alexandria database.

abc: 2.672 3.778 5.226
angles: 90.00 90.00 90.00
Positions (direct):
Rh 0.000 0.000 0.987
Cu 0.000 0.000 0.496
Os 0.500 0.500 0.753
Rh 0.500 0.500 0.264

Properties
Crystal system: orthorhombic
Symmetry: Pmm2
Distance to the lowest polymorph of the same formula (meV/atom): 122
D(E_F) (states/eV/cell): 3.50
Magnetization (Bohr magnetons per cell): 0.000